# 1
A plane-wave DFT calculation with GGA-PBE was carried out for Dy2CdGa after structural relaxation.

Properties
Formation energy from the elements ... -0.302 eV/atom
Spin magnetization ... 0.00 μB per formula unit
SG ... R-3m
Electronic total energy ... -3.588 eV per atom
Volume ... 106.1 Å³ per cell

a b c (Å): 9.5093 9.5093 9.5093
angles (deg): 22.04 22.04 22.04
Sites, in units of the cell vectors:
Dy (0.2437, 0.2437, 0.2437)
Dy (0.7563, 0.7563, 0.7563)
Cd (0.0000, 0.0000, 0.0000)
Ga (0.5000, 0.5000, 0.5000)

---

# 2
A plane-wave DFT calculation with GGA-PBE was carried out for TbErGePd after structural relaxation.

Properties
Formation energy from the elements ... -0.893 eV/atom
Spin magnetization ... 0.00 μB per formula unit
Energy above the lowest structure with this stoichiometry ... 0.000 eV per atom
SG ... Amm2
Electronic total energy ... -5.644 eV per atom
Volume ... 91.1 Å³ per cell

a b c (Å): 4.2988 5.7749 5.7749
angles (deg): 39.45 90.00 90.00
Sites, in units of the cell vectors:
Tb (0.0000, 0.0000, 0.0000)
Er (0.5000, 0.2784, 0.2784)
Ge (0.0000, 0.7237, 0.7237)
Pd (0.5000, 0.5607, 0.5607)

---

# 3
A plane-wave DFT calculation with GGA-PBE was carried out for BPS2N after structural relaxation.

Properties
ΔE_f (raw) ... 1861 meV/atom
Spin magnetization ... 2.13 μB per formula unit
Energy above the lowest structure with this stoichiometry ... 1.208 eV per atom
SG ... P4/mmm
Electronic total energy ... -3.873 eV per atom
Volume ... 78.8 Å³ per cell

a b c (Å): 4.5563 4.5563 3.7955
angles (deg): 90.00 90.00 90.00
Sites, in units of the cell vectors:
B (0.0000, 0.0000, 0.0000)
P (0.0000, 0.0000, 0.5000)
S (0.0000, 0.5000, 0.5000)
S (0.5000, 0.0000, 0.5000)
N (0.5000, 0.5000, 0.0000)

---

# 4
A plane-wave DFT calculation with GGA-PBE was carried out for SrWSe after structural relaxation.

Properties
ΔE_f (raw) ... 125 meV/atom
Spin magnetization ... 0.00 μB per formula unit
Energy above the lowest structure with this stoichiometry ... 0.000 eV per atom
SG ... I4mm
Electronic total energy ... -5.915 eV per atom
Volume ... 67.1 Å³ per cell

a b c (Å): 6.3746 6.3746 6.3746
angles (deg): 149.36 149.36 43.88
Sites, in units of the cell vectors:
Sr (0.0000, 0.0000, 0.0000)
W (0.2980, 0.2980, 0.0000)
Se (0.7067, 0.7067, 0.0000)

---

# 5
A plane-wave DFT calculation with GGA-PBE was carried out for InPb3S after structural relaxation.

Properties
ΔE_f (raw) ... 630 meV/atom
Spin magnetization ... 0.00 μB per formula unit
Energy above the lowest structure with this stoichiometry ... 0.497 eV per atom
SG ... Pm-3m
Electronic total energy ... -2.968 eV per atom
Volume ... 189.9 Å³ per cell

a b c (Å): 5.7474 5.7474 5.7474
angles (deg): 90.00 90.00 90.00
Sites, in units of the cell vectors:
In (0.0000, 0.0000, 0.0000)
Pb (0.0000, 0.0000, 0.5000)
Pb (0.0000, 0.5000, 0.0000)
Pb (0.5000, 0.0000, 0.0000)
S (0.5000, 0.5000, 0.5000)

---

# 6
A plane-wave DFT calculation with GGA-PBE was carried out for K2ZrBr after structural relaxation.

Properties
ΔE_f (raw) ... 514 meV/atom
Spin magnetization ... 3.86 μB per formula unit
Energy above the lowest structure with this stoichiometry ... 0.645 eV per atom
SG ... F-43m
Electronic total energy ... -2.590 eV per atom
Volume ... 155.0 Å³ per cell

a b c (Å): 6.0299 6.0299 6.0299
angles (deg): 60.00 60.00 60.00
Sites, in units of the cell vectors:
K (0.0000, 0.0000, 0.0000)
K (0.2500, 0.2500, 0.2500)
Zr (0.5000, 0.5000, 0.5000)
Br (0.7500, 0.7500, 0.7500)

---

# 7
A plane-wave DFT calculation with GGA-PBE was carried out for Ti2Mo6W after structural relaxation.

Properties
Formation energy from the elements ... -0.133 eV/atom
Spin magnetization ... 0.00 μB per formula unit
Energy above the lowest structure with this stoichiometry ... 0.000 eV per atom
SG ... P-1
Electronic total energy ... -10.547 eV per atom
Volume ... 142.4 Å³ per cell

a b c (Å): 4.4500 5.2473 6.8998
angles (deg): 109.87 108.74 90.04
Sites, in units of the cell vectors:
Ti (0.1133, 0.0613, 0.2263)
Ti (0.8867, 0.9387, 0.7737)
Mo (0.2227, 0.6196, 0.4452)
Mo (0.3336, 0.1704, 0.6676)
Mo (0.4465, 0.7255, 0.8930)
Mo (0.5535, 0.2745, 0.1070)
Mo (0.6664, 0.8296, 0.3324)
Mo (0.7773, 0.3804, 0.5548)
W (0.0000, 0.5000, 0.0000)

---

# 8
A plane-wave DFT calculation with GGA-PBE was carried out for V2Ni8Ge after structural relaxation.

Properties
Formation energy from the elements ... -0.198 eV/atom
Spin magnetization ... 0.00 μB per formula unit
SG ... C2/m
Electronic total energy ... -6.480 eV per atom
Volume ... 126.3 Å³ per cell

a b c (Å): 6.6722 6.6722 5.7090
angles (deg): 105.48 105.48 31.14
Sites, in units of the cell vectors:
V (0.2207, 0.2207, 0.1532)
V (0.7793, 0.7793, 0.8468)
Ni (0.0431, 0.0431, 0.2276)
Ni (0.1440, 0.1440, 0.6924)
Ni (0.3190, 0.3190, 0.5898)
Ni (0.4064, 0.4064, 0.0448)
Ni (0.5936, 0.5936, 0.9552)
Ni (0.6810, 0.6810, 0.4102)
Ni (0.8560, 0.8560, 0.3076)
Ni (0.9569, 0.9569, 0.7724)
Ge (0.5000, 0.5000, 0.5000)

---

> Among the records above, which one has the highest electronic total energy?

K2ZrBr

---

Repeat the fourth record exactly.
A plane-wave DFT calculation with GGA-PBE was carried out for SrWSe after structural relaxation.

Properties
ΔE_f (raw) ... 125 meV/atom
Spin magnetization ... 0.00 μB per formula unit
Energy above the lowest structure with this stoichiometry ... 0.000 eV per atom
SG ... I4mm
Electronic total energy ... -5.915 eV per atom
Volume ... 67.1 Å³ per cell

a b c (Å): 6.3746 6.3746 6.3746
angles (deg): 149.36 149.36 43.88
Sites, in units of the cell vectors:
Sr (0.0000, 0.0000, 0.0000)
W (0.2980, 0.2980, 0.0000)
Se (0.7067, 0.7067, 0.0000)

---

> What is the formula in the third record?

BPS2N